DFT (PBE with a Hubbard U) results for a relaxed structure of Tl2NiAsF.

Cell: 5.4150 3.7774 5.4150 Å, 90.00 90.00 90.00°
With the nearest neighbours (Å) after each atom.
Fractional coordinates of all 5 atoms:
Ni1 0.0000 0.0000 0.0000  2 F 1.89
Tl1 0.0000 0.0000 0.5000  2 Ni 2.71
Tl2 0.5000 0.0000 0.0000  2 Ni 2.71
As1 0.5000 0.5000 0.5000  8 Tl 3.30
F1 0.0000 0.5000 0.0000  2 Ni 1.89

Values from the calculation:
Raw total energy   -0.2194 Ry per atom
Total magnetization   0.58 μB/f.u.
Density of states at the Fermi level   2.31 states/eV/f.u.
Crystal system   tetragonal